Version 1
Entry from Alexandria: an optimized crystal structure of UNi6 (PBE).

Output
M_tot	1.00	Bohr magnetons per cell
DOS(E_F)	1.55	states/eV per atom

Cell: 5.290 5.290 5.290 Å, 90.00 90.00 90.00°
Sites, in units of the cell vectors:
U (0.000, 0.000, 0.000)
Ni (0.197, 0.500, 0.500)
Ni (0.500, 0.197, 0.500)
Ni (0.500, 0.500, 0.197)
Ni (0.500, 0.500, 0.803)
Ni (0.500, 0.803, 0.500)
Ni (0.803, 0.500, 0.500)

Version 2
Entry from Alexandria: an optimized crystal structure of UNi6 (PBE).

Output
M_tot	2.08	Bohr magnetons per cell
DOS(E_F)	1.49	states/eV per atom

Cell: 7.811 4.772 9.641 Å, 90.00 90.00 90.00°
Sites, in units of the cell vectors:
U (0.245, 0.250, 0.064)
U (0.255, 0.750, 0.564)
U (0.745, 0.250, 0.436)
U (0.755, 0.750, 0.936)
Ni (0.047, 0.750, 0.084)
Ni (0.060, 0.006, 0.304)
Ni (0.060, 0.494, 0.304)
Ni (0.104, 0.250, 0.518)
Ni (0.158, 0.750, 0.849)
Ni (0.192, 0.250, 0.756)
Ni (0.308, 0.750, 0.256)
Ni (0.342, 0.250, 0.349)
Ni (0.396, 0.750, 0.018)
Ni (0.440, 0.506, 0.804)
Ni (0.440, 0.994, 0.804)
Ni (0.453, 0.250, 0.584)
Ni (0.547, 0.750, 0.416)
Ni (0.560, 0.006, 0.196)
Ni (0.560, 0.494, 0.196)
Ni (0.604, 0.250, 0.982)
Ni (0.658, 0.750, 0.651)
Ni (0.692, 0.250, 0.744)
Ni (0.808, 0.750, 0.244)
Ni (0.842, 0.250, 0.151)
Ni (0.896, 0.750, 0.482)
Ni (0.940, 0.506, 0.696)
Ni (0.940, 0.994, 0.696)
Ni (0.953, 0.250, 0.916)

What are the relative energies? In meV per atom: version 1 1280; version 2 0.

Version 1
Entry from Alexandria: an optimized crystal structure of U2ZnNi9 (PBE).

Output
M_tot	3.04	Bohr magnetons per cell
DOS(E_F)	1.36	states/eV per atom

Cell: 8.579 8.579 8.579 Å, 32.45 32.45 32.45°
Sites, in units of the cell vectors:
U (0.139, 0.139, 0.139)
U (0.861, 0.861, 0.861)
Zn (0.000, 0.000, 0.000)
Ni (0.082, 0.583, 0.583)
Ni (0.333, 0.333, 0.333)
Ni (0.417, 0.417, 0.918)
Ni (0.417, 0.918, 0.417)
Ni (0.500, 0.500, 0.500)
Ni (0.583, 0.082, 0.583)
Ni (0.583, 0.583, 0.082)
Ni (0.667, 0.667, 0.667)
Ni (0.918, 0.417, 0.417)

Version 2
Entry from Alexandria: an optimized crystal structure of U2ZnNi9 (PBE).

Output
M_tot	2.15	Bohr magnetons per cell
DOS(E_F)	1.11	states/eV per atom

Cell: 3.807 3.807 10.923 Å, 90.00 90.00 90.00°
Sites, in units of the cell vectors:
U (0.000, 0.000, 0.180)
U (0.000, 0.000, 0.820)
Zn (0.000, 0.000, 0.500)
Ni (0.000, 0.500, 0.000)
Ni (0.000, 0.500, 0.344)
Ni (0.000, 0.500, 0.656)
Ni (0.500, 0.000, 0.000)
Ni (0.500, 0.000, 0.344)
Ni (0.500, 0.000, 0.656)
Ni (0.500, 0.500, 0.173)
Ni (0.500, 0.500, 0.500)
Ni (0.500, 0.500, 0.827)

What are the relative energies? In meV per atom: version 1 41; version 2 0.

Version 1
Entry from Alexandria: an optimized crystal structure of Zr2UNi (PBE).

Output
M_tot	0.03	Bohr magnetons per cell
DOS(E_F)	1.65	states/eV per atom

Cell: 3.076 3.076 8.272 Å, 90.00 90.00 90.00°
Sites, in units of the cell vectors:
Zr (0.000, 0.000, 0.208)
Zr (0.000, 0.000, 0.792)
U (0.500, 0.500, 0.500)
Ni (0.500, 0.500, 0.000)

Version 2
Entry from Alexandria: an optimized crystal structure of Zr2UNi (PBE).

Output
M_tot	0.19	Bohr magnetons per cell
DOS(E_F)	1.61	states/eV per atom

Cell: 5.018 5.018 3.043 Å, 90.00 90.00 90.00°
Sites, in units of the cell vectors:
Zr (0.000, 0.500, 0.000)
Zr (0.500, 0.000, 0.000)
U (0.000, 0.000, 0.500)
Ni (0.500, 0.500, 0.500)

What are the relative energies? In meV per atom: version 1 0; version 2 145.

Version 1
Entry from Alexandria: an optimized crystal structure of V2Ni3 (PBE).

Output
M_tot	0.01	Bohr magnetons per cell
DOS(E_F)	1.63	states/eV per atom

Cell: 6.476 6.476 6.476 Å, 135.70 61.84 139.14°
Sites, in units of the cell vectors:
V (0.180, 0.173, 0.353)
V (0.320, 0.673, 0.993)
V (0.680, 0.327, 0.007)
V (0.820, 0.827, 0.647)
Ni (0.100, 0.631, 0.731)
Ni (0.250, 0.250, 0.000)
Ni (0.400, 0.131, 0.531)
Ni (0.600, 0.869, 0.469)
Ni (0.750, 0.750, 0.000)
Ni (0.900, 0.369, 0.269)

Version 2
Entry from Alexandria: an optimized crystal structure of V2Ni3 (PBE).

Output
M_tot	1.56	Bohr magnetons per cell
DOS(E_F)	1.31	states/eV per atom

Cell: 6.902 6.902 6.902 Å, 154.74 154.74 36.02°
Sites, in units of the cell vectors:
V (0.106, 0.106, 0.000)
V (0.894, 0.894, 0.000)
Ni (0.302, 0.302, 0.000)
Ni (0.500, 0.500, 0.000)
Ni (0.698, 0.698, 0.000)

What are the relative energies? In meV per atom: version 1 159; version 2 0.

Version 1
Entry from Alexandria: an optimized crystal structure of V4Ni (PBE).

Output
M_tot	0.91	Bohr magnetons per cell
DOS(E_F)	1.87	states/eV per atom

Cell: 4.331 4.331 4.331 Å, 90.00 90.00 90.00°
Sites, in units of the cell vectors:
V (0.000, 0.000, 0.000)
V (0.000, 0.500, 0.500)
V (0.500, 0.000, 0.500)
V (0.500, 0.500, 0.000)
Ni (0.500, 0.500, 0.500)

Version 2
Entry from Alexandria: an optimized crystal structure of V4Ni (PBE).

Output
M_tot	0.00	Bohr magnetons per cell
DOS(E_F)	1.23	states/eV per atom

Cell: 5.775 5.775 5.775 Å, 103.75 103.75 121.64°
Sites, in units of the cell vectors:
V (0.258, 0.309, 0.552)
V (0.258, 0.706, 0.948)
V (0.294, 0.742, 0.552)
V (0.309, 0.258, 0.052)
V (0.691, 0.742, 0.948)
V (0.706, 0.258, 0.448)
V (0.742, 0.294, 0.052)
V (0.742, 0.691, 0.448)
Ni (0.125, 0.875, 0.250)
Ni (0.875, 0.125, 0.750)

What are the relative energies? In meV per atom: version 1 654; version 2 0.

Version 1
Entry from Alexandria: an optimized crystal structure of V5Ni (PBE).

Output
M_tot	0.00	Bohr magnetons per cell
DOS(E_F)	1.20	states/eV per atom

Cell: 4.940 4.940 4.161 Å, 90.00 90.00 130.06°
Sites, in units of the cell vectors:
V (0.000, 0.000, 0.000)
V (0.167, 0.833, 0.500)
V (0.332, 0.668, 0.000)
V (0.668, 0.332, 0.000)
V (0.833, 0.167, 0.500)
Ni (0.500, 0.500, 0.500)

Version 2
Entry from Alexandria: an optimized crystal structure of V5Ni (PBE).

Output
M_tot	0.00	Bohr magnetons per cell
DOS(E_F)	1.06	states/eV per atom

Cell: 6.450 6.450 3.012 Å, 90.00 90.00 141.73°
Sites, in units of the cell vectors:
V (0.000, 0.000, 0.000)
V (0.163, 0.837, 0.500)
V (0.331, 0.669, 0.000)
V (0.669, 0.331, 0.000)
V (0.837, 0.163, 0.500)
Ni (0.500, 0.500, 0.500)

What are the relative energies? In meV per atom: version 1 8; version 2 0.